No. 1
DFT (PBE) results for Cs3Sc3AlTe8 after structural relaxation.

```
Cs3Sc3AlTe8
1.0
-0.292 1.181 -8.300
-7.035 -1.786 4.232
3.314 9.785 1.276
Sc Te Cs Al
3 8 3 1
Cartesian
1.511 5.483 -3.512
-1.860 3.999 2.754
-2.006 4.590 -1.396
-4.688 5.780 -1.179
-3.067 3.090 -3.692
-1.153 6.730 -3.241
-2.859 2.449 0.449
-0.946 6.090 0.900
0.675 3.400 -1.613
0.526 4.003 -5.855
-4.539 5.176 3.063
-3.517 -0.893 2.116
0.000 0.000 0.000
-3.663 -0.303 -2.034
1.657 4.893 0.638
```

Calculated values
- Density of states at the Fermi level: 4.04 states/eV/f.u.
- Symmetry: C2/m, No. 12
- E_form (uncorrected): -1.0271 eV/atom
- Uncorrected energy: -4.3892 eV/atom


No. 2
DFT (PBE) results for Cs2Sc2AlTe6 after structural relaxation.

```
Cs2Sc2AlTe6
1.0
7.174 -0.035 0.029
-3.576 6.220 0.029
-1.317 -2.263 9.263
Cs Al Sc Te
2 1 2 6
Cartesian
5.349 1.027 0.029
-1.751 5.158 0.029
-0.658 -1.132 4.631
2.955 0.905 4.661
-0.674 3.016 4.661
4.077 3.054 3.014
1.642 -1.132 6.307
-1.796 0.868 6.307
0.639 5.054 3.014
0.517 0.888 3.011
1.765 3.033 6.311
```

Calculated values
- Density of states at the Fermi level: 4.39 states/eV/f.u.
- Symmetry: C2/m, No. 12
- E_form (uncorrected): -0.9574 eV/atom
- Uncorrected energy: -4.3176 eV/atom


No. 3
DFT (PBE) results for CsScAlTe4 after structural relaxation.

```
CsScAlTe4
1.0
-6.218 3.101 2.632
1.264 -2.534 5.974
7.828 7.118 1.363
Cs Te Al Sc
2 8 2 2
Cartesian
-0.715 0.419 2.158
3.589 7.266 7.810
-3.026 4.017 5.932
-3.633 5.235 3.060
3.353 6.841 4.022
2.737 3.690 6.474
0.138 3.994 3.495
-0.478 0.844 5.947
5.900 3.668 4.036
6.508 2.449 6.908
0.874 6.314 4.323
2.001 1.370 5.645
3.046 4.069 2.911
-0.172 3.616 7.058
```

Calculated values
- Density of states at the Fermi level: 1.78 states/eV/f.u.
- Symmetry: P2_1/m, No. 11
- E_form (uncorrected): -0.8071 eV/atom
- Uncorrected energy: -4.1635 eV/atom


No. 4
DFT (PBE) results for CsAlSe2 after structural relaxation.

```
CsAlSe2
1.0
-2.516 3.115 -9.921
2.304 -0.637 -3.091
-1.729 -3.005 1.801
Al Se Cs
1 2 1
Cartesian
-0.971 -0.263 -5.605
1.462 0.401 -6.398
-3.404 -0.928 -4.812
0.000 0.000 0.000
```

Calculated values
- Density of states at the Fermi level: 0.00 states/eV/f.u.
- Symmetry: P-3m1, No. 164
- E_form (uncorrected): -0.9349 eV/atom
- Uncorrected energy: -3.8262 eV/atom


No. 5
DFT (PBE) results for CsAlSe2 after structural relaxation.

```
CsAlSe2
1.0
-7.613 3.540 -1.669
-2.347 -3.100 -0.452
0.832 1.321 3.590
Al Se Cs
1 2 1
Cartesian
0.000 0.000 0.000
-7.809 1.080 -0.719
-1.319 0.680 2.188
-4.564 0.880 0.734
```

Calculated values
- Density of states at the Fermi level: 0.00 states/eV/f.u.
- Symmetry: R-3m, No. 166
- E_form (uncorrected): -0.9339 eV/atom
- Uncorrected energy: -3.8252 eV/atom


No. 6
DFT (PBE) results for CsAlSe2 after structural relaxation.

```
CsAlSe2
1.0
-4.124 -0.397 6.390
-1.298 -5.118 -1.156
9.300 -3.663 5.776
Se Al Cs
8 4 4
Cartesian
4.846 -4.002 5.964
-1.400 -1.703 2.795
3.591 -4.519 9.659
0.288 -4.659 1.350
5.279 -7.474 8.214
-0.118 -3.218 8.067
3.997 -5.959 2.943
-0.968 -5.175 5.046
5.609 -4.695 8.174
5.351 -3.583 3.538
-1.731 -4.482 2.836
-1.473 -5.594 7.471
-2.876 -2.067 6.062
1.626 -2.829 4.382
6.754 -7.111 4.947
2.252 -6.348 6.627
```

Calculated values
- Density of states at the Fermi level: 0.00 states/eV/f.u.
- Symmetry: Pnma, No. 62
- E_form (uncorrected): -0.9758 eV/atom
- Uncorrected energy: -3.8671 eV/atom


No. 7
DFT (PBE) results for CsAlSe2 after structural relaxation.

```
CsAlSe2
1.0
10.420 0.014 -0.062
-3.980 5.545 0.016
0.994 4.455 5.075
Se Cs Al
4 2 2
Cartesian
5.802 3.303 1.991
3.279 5.839 3.507
-0.654 7.048 4.052
0.394 4.835 1.035
-3.333 6.748 1.620
4.590 9.127 4.529
4.319 3.704 3.880
1.166 6.573 2.505
```

Calculated values
- Density of states at the Fermi level: 0.00 states/eV/f.u.
- Symmetry: C2, No. 5
- E_form (uncorrected): -1.1147 eV/atom
- Uncorrected energy: -4.0060 eV/atom


No. 8
DFT (PBE) results for CsAlSe2 after structural relaxation.

```
CsAlSe2
1.0
3.611 -2.085 0.000
0.000 4.169 0.000
0.000 0.000 8.678
Cs Se Al
1 2 1
Cartesian
0.000 0.000 8.425
2.407 0.000 2.833
1.204 2.085 6.136
1.204 2.085 3.909
```

Calculated values
- Density of states at the Fermi level: 1.23 states/eV/f.u.
- Symmetry: P3m1, No. 156
- E_form (uncorrected): -0.7868 eV/atom
- Uncorrected energy: -3.6781 eV/atom


No. 9
DFT (PBE) results for CsAlSe2 after structural relaxation.

```
CsAlSe2
1.0
3.397 0.000 7.597
-1.699 2.942 7.597
-1.699 -2.942 7.597
Se Al Cs
2 1 1
Cartesian
0.000 0.000 20.594
0.000 0.000 2.198
0.000 0.000 0.000
0.000 0.000 11.396
```

Calculated values
- Density of states at the Fermi level: 0.00 states/eV/f.u.
- Symmetry: R-3m, No. 166
- E_form (uncorrected): -0.7006 eV/atom
- Uncorrected energy: -3.5919 eV/atom


No. 10
DFT (PBE) results for CsAlSe2 after structural relaxation.

```
CsAlSe2
1.0
-2.228 -0.445 3.190
-0.932 -1.865 -3.315
4.907 -6.849 2.473
Cs Se Al
1 2 1
Cartesian
0.857 -4.491 -0.028
2.792 -7.192 0.947
-1.011 -2.013 1.417
4.886 -6.819 2.462
```

Calculated values
- Density of states at the Fermi level: 0.00 states/eV/f.u.
- Symmetry: P3m1, No. 156
- E_form (uncorrected): -0.8448 eV/atom
- Uncorrected energy: -3.7361 eV/atom


No. 11
DFT (PBE) results for CsAlSe2 after structural relaxation.

```
CsAlSe2
1.0
-1.146 7.141 -2.631
-6.961 3.177 0.869
1.677 2.307 5.476
Al Se Cs
2 4 2
Cartesian
-3.939 6.468 1.323
-3.101 7.624 4.061
-5.314 7.313 3.128
-1.759 6.596 2.343
-4.601 4.215 0.733
-4.318 7.594 -0.775
-5.445 10.770 1.734
-1.124 3.028 0.095
```

Calculated values
- Density of states at the Fermi level: 0.00 states/eV/f.u.
- Symmetry: P1, No. 1
- E_form (uncorrected): -1.1890 eV/atom
- Uncorrected energy: -4.0803 eV/atom


No. 12
DFT (PBE) results for CsAlSe2 after structural relaxation.

```
CsAlSe2
1.0
7.118 0.000 0.000
0.000 11.004 0.000
0.000 0.000 6.918
Al Se Cs
4 8 4
Cartesian
3.762 6.885 6.892
3.356 4.118 3.433
0.203 9.620 6.892
6.915 1.383 3.433
0.304 10.301 4.553
6.029 7.634 0.472
2.470 8.872 0.472
6.814 0.702 1.095
1.089 3.370 3.931
3.863 6.204 4.553
4.648 2.132 3.931
3.255 4.799 1.095
3.910 9.630 3.646
6.767 4.128 0.187
3.208 1.374 0.187
0.351 6.876 3.646
```

Calculated values
- Density of states at the Fermi level: 0.00 states/eV/f.u.
- Symmetry: Pna2_1, No. 33
- E_form (uncorrected): -1.0913 eV/atom
- Uncorrected energy: -3.9826 eV/atom


No. 13
DFT (PBE) results for CsAlSe2 after structural relaxation.

```
CsAlSe2
1.0
-27.347 5.747 9.847
-1.455 -3.136 -2.210
10.141 -4.823 0.169
Al Cs Se
4 4 8
Cartesian
-20.625 0.551 5.178
1.963 -2.763 2.628
-1.154 -3.166 1.443
-17.508 0.954 6.363
-13.459 -1.488 3.355
-24.673 2.993 8.185
6.012 -5.205 -0.379
-5.202 -0.724 4.451
-19.138 -1.004 6.406
-22.706 0.964 5.961
4.045 -3.176 1.845
0.477 -1.208 1.400
-9.808 0.102 2.502
-3.235 -2.753 2.227
-15.426 0.541 5.579
-8.854 -2.314 5.304
```

Calculated values
- Density of states at the Fermi level: 0.00 states/eV/f.u.
- Symmetry: C2/m, No. 12
- E_form (uncorrected): -1.0309 eV/atom
- Uncorrected energy: -3.9222 eV/atom


No. 14
DFT (PBE) results for CsAl4Se7 after structural relaxation.

```
CsAl4Se7
1.0
6.388 0.000 0.000
0.000 6.822 0.000
0.000 0.000 16.010
Cs Se Al
2 14 8
Cartesian
3.154 5.520 8.005
6.348 1.302 0.000
6.242 4.522 9.960
6.242 4.522 6.050
3.048 2.300 1.955
6.214 1.120 8.005
6.171 1.116 4.018
6.171 1.116 11.992
3.048 2.300 14.055
2.977 5.705 3.987
3.020 5.701 0.000
6.220 4.716 1.913
6.220 4.716 14.097
3.026 2.106 6.092
3.026 2.106 9.918
2.977 5.705 12.023
0.499 5.584 4.022
3.826 4.559 1.974
0.499 5.584 11.988
3.826 4.559 14.035
0.632 2.263 6.031
3.693 1.238 3.983
0.632 2.263 9.979
3.693 1.238 12.027
```

Calculated values
- Density of states at the Fermi level: 8.20 states/eV/f.u.
- Symmetry: Pmn2_1, No. 31
- E_form (uncorrected): -0.8906 eV/atom
- Uncorrected energy: -4.2419 eV/atom


No. 15
DFT (PBE) results for CsAlSe2 after structural relaxation.

```
CsAlSe2
1.0
-2.643 2.697 -1.703
-2.312 -4.567 -3.645
-14.146 -4.576 14.707
Se Cs Al
8 4 4
Cartesian
-9.525 -5.042 4.280
-3.286 -0.720 1.440
-16.629 -3.654 12.464
-10.855 -3.988 8.011
-9.576 -1.406 5.079
-2.472 -2.793 -3.105
-15.815 -5.727 7.918
-8.246 -2.459 1.347
-13.404 -4.983 5.355
-13.309 -4.818 10.506
-5.792 -1.629 -1.147
-5.697 -1.464 4.003
-9.702 -2.813 3.046
-1.688 -0.086 -0.036
-9.399 -3.634 6.312
-17.413 -6.361 9.394
```

Calculated values
- Symmetry: Pnma, No. 62
- E_form (uncorrected): -1.0437 eV/atom
- Uncorrected energy: -3.9349 eV/atom


No. 16
DFT (PBE) results for CsAlSe2 after structural relaxation.

```
CsAlSe2
1.0
-2.532 -3.395 8.603
1.382 -4.750 8.214
0.644 -0.872 9.527
Se Cs Al
2 1 1
Cartesian
-0.324 -5.780 16.886
-0.047 -0.833 2.435
-0.256 -4.560 13.323
-0.006 -0.107 0.312
```

Calculated values
- Density of states at the Fermi level: 1.38 states/eV/f.u.
- Symmetry: R3m, No. 160
- E_form (uncorrected): -0.7541 eV/atom
- Uncorrected energy: -3.6454 eV/atom


No. 17
DFT (PBE) results for CsAlSe2 after structural relaxation.

```
CsAlSe2
1.0
-2.866 -6.614 -1.878
1.120 0.512 -3.513
16.492 -8.296 4.046
Se Cs Al
8 4 4
Cartesian
-0.252 -1.391 -1.269
6.353 -8.741 -0.237
14.997 -13.006 -0.076
5.152 -5.398 -2.104
13.977 -7.177 2.422
9.593 -8.999 0.759
8.393 -5.656 -1.109
0.769 -7.221 -3.767
12.727 -10.632 1.519
2.019 -3.765 -2.864
3.943 -8.761 -2.980
10.803 -5.636 1.635
-1.214 -6.673 -2.346
15.959 -7.724 1.001
6.078 -6.313 0.030
8.667 -8.084 -1.375
```

Calculated values
- Density of states at the Fermi level: 0.00 states/eV/f.u.
- Symmetry: Pnma, No. 62
- E_form (uncorrected): -1.0100 eV/atom
- Uncorrected energy: -3.9013 eV/atom


No. 18
DFT (PBE) results for CsAlSe2 after structural relaxation.

```
CsAlSe2
1.0
-3.185 -2.479 -1.678
2.427 -0.704 -3.566
2.694 -5.429 2.905
Al Se Cs
1 2 1
Cartesian
1.347 -2.714 1.453
0.968 -4.306 -1.170
0.000 0.000 0.000
-0.379 -1.591 -2.622
```

Calculated values
- Density of states at the Fermi level: 4.00 states/eV/f.u.
- Symmetry: P4/mmm, No. 123
- E_form (uncorrected): -0.0004 eV/atom
- Uncorrected energy: -2.8917 eV/atom


No. 19
DFT (PBE) results for Cs3AlSe after structural relaxation.

```
Cs3AlSe
1.0
6.974 0.000 0.000
0.000 6.974 0.000
0.000 0.000 6.974
Se Al Cs
1 1 3
Cartesian
0.000 0.000 0.000
3.487 3.487 3.487
0.000 3.487 0.000
0.000 0.000 3.487
3.487 0.000 0.000
```

Calculated values
- Density of states at the Fermi level: 6.32 states/eV/f.u.
- Symmetry: Pm-3m, No. 221
- E_form (uncorrected): -0.1663 eV/atom
- Uncorrected energy: -2.1238 eV/atom
- E above lowest polymorph: 0.000 eV per atom


No. 20
DFT (PBE) results for CsAlSe2 after structural relaxation.

```
CsAlSe2
1.0
-7.580 -4.403 -3.806
-6.186 -2.732 5.493
-0.360 3.694 -1.466
Se Cs Al
4 2 2
Cartesian
-10.878 -4.604 1.942
-6.422 -2.322 1.173
-3.461 0.354 1.755
-6.619 0.817 3.699
-3.205 1.098 -1.861
-8.269 -1.597 -1.984
-5.839 0.043 1.558
-11.821 -3.275 0.091
```

Calculated values
- Density of states at the Fermi level: 0.00 states/eV/f.u.
- Symmetry: C2/m, No. 12
- E_form (uncorrected): -1.1382 eV/atom
- Uncorrected energy: -4.0295 eV/atom